The following is a PBE calculation of ZrRhPb2 after structural relaxation, from Alexandria.

Computed properties:
space group	I-4m2 (119)
formation energy	-0.18	eV/f.u.

Cell: 5.683 5.683 5.683 Å, 136.01 136.01 63.96°
Sites, in units of the cell vectors:
Zr1 0.000 0.000 0.000
Rh1 0.750 0.250 0.500
Pb1 0.250 0.750 0.500
Pb2 0.500 0.500 0.000